1.
DFT (PBE) results for an optimized crystal structure of Tb2CoSi3Ir4.

The structure belongs to space group P-4m2 (No. 115); the cell edges are 4.102, 4.102 and 9.965 Å and the angles 90.00°, 90.00° and 90.00°. The inequivalent atoms are Tb at (0.000, 0.500, 0.247), Co at (0.500, 0.500, 0.000), Si at (0.000, 0.000, 0.000), Si at (0.000, 0.500, 0.631), Ir at (0.000, 0.000, 0.500), Ir at (0.000, 0.500, 0.868) and Ir at (0.500, 0.500, 0.500).

As for the mass density: 12181 kg/m3. As for the crystal system: tetragonal. The calculation puts the total energy at -7.72 eV/atom. The density of states at the Fermi level comes out at 0.648 states/eV/atom. The total moment comes out at 0.115 μB/atom. For the formation energy (no corrections), the calculation gives -0.9162 eV/atom.

2.
DFT (PBE) results for an optimized crystal structure of CoSiTcIr.

The structure belongs to space group F-43m (No. 216); the cell edges are 5.887, 5.887 and 5.887 Å and the angles 90.00°, 90.00° and 90.00°. The inequivalent atoms are Co at (0.000, 0.000, 0.000), Si at (0.000, 0.000, 0.500), Tc at (0.250, 0.250, 0.250) and Ir at (0.250, 0.250, 0.750).

As for the mass density: 12279 kg/m3. As for the crystal system: cubic. The calculation puts the total energy at -8.20 eV/atom. The density of states at the Fermi level comes out at 0.786 states/eV/atom. The total moment comes out at 0.000 μB/atom. For the formation energy (no corrections), the calculation gives -0.2642 eV/atom.

3.
DFT (PBE) results for an optimized crystal structure of Th2CoSi3Ir4.

The structure belongs to space group P-4m2 (No. 115); the cell edges are 4.166, 4.166 and 10.056 Å and the angles 90.00°, 90.00° and 90.00°. The inequivalent atoms are Th at (0.000, 0.500, 0.243), Co at (0.500, 0.500, 0.000), Si at (0.000, 0.000, 0.000), Si at (0.000, 0.500, 0.630), Ir at (0.000, 0.000, 0.500), Ir at (0.000, 0.500, 0.869) and Ir at (0.500, 0.500, 0.500).

As for the mass density: 13091 kg/m3. As for the crystal system: tetragonal. The calculation puts the total energy at -8.30 eV/atom. The density of states at the Fermi level comes out at 0.604 states/eV/atom. The total moment comes out at 0.179 μB/atom. For the formation energy (no corrections), the calculation gives -0.9389 eV/atom.

4.
DFT (PBE) results for an optimized crystal structure of Th2CoSi4Ir3.

The structure belongs to space group P-4m2 (No. 115); the cell edges are 4.159, 4.159 and 9.934 Å and the angles 90.00°, 90.00° and 90.00°. The inequivalent atoms are Th at (0.000, 0.500, 0.250), Co at (0.000, 0.000, 0.500), Si at (0.000, 0.000, 0.000), Si at (0.000, 0.500, 0.626), Si at (0.500, 0.500, 0.000), Ir at (0.000, 0.500, 0.871) and Ir at (0.500, 0.500, 0.500).

As for the mass density: 11713 kg/m3. As for the crystal system: tetragonal. The calculation puts the total energy at -8.02 eV/atom. The density of states at the Fermi level comes out at 0.680 states/eV/atom. The total moment comes out at 0.000 μB/atom. For the formation energy (no corrections), the calculation gives -0.9995 eV/atom.

5.
DFT (PBE) results for an optimized crystal structure of TiCoSiIr.

The structure belongs to space group F-43m (No. 216); the cell edges are 5.963, 5.963 and 5.963 Å and the angles 90.00°, 90.00° and 90.00°. The inequivalent atoms are Ti at (0.000, 0.000, 0.000), Co at (0.250, 0.250, 0.750), Si at (0.000, 0.000, 0.500) and Ir at (0.250, 0.250, 0.250).

As for the mass density: 10250 kg/m3. As for the crystal system: cubic. The calculation puts the total energy at -8.01 eV/atom. The density of states at the Fermi level comes out at 0.168 states/eV/atom. The total moment comes out at 0.499 μB/atom. For the formation energy (no corrections), the calculation gives -0.6857 eV/atom.

6.
DFT (PBE) results for an optimized crystal structure of TiCo2SiIr.

The structure belongs to space group P4/mmm (No. 123); the cell edges are 4.098, 4.098 and 4.569 Å and the angles 90.00°, 90.00° and 90.00°. The inequivalent atoms are Ti at (0.000, 0.000, 0.000), Co at (0.000, 0.500, 0.000), Si at (0.000, 0.000, 0.500) and Ir at (0.500, 0.500, 0.500).

As for the mass density: 8353 kg/m3. As for the crystal system: tetragonal. The calculation puts the total energy at -6.13 eV/atom. The density of states at the Fermi level comes out at 1.043 states/eV/atom. The total moment comes out at 0.249 μB/atom. For the formation energy (no corrections), the calculation gives 1.1479 eV/atom.